# RbSrAu3 | the Alexandria database | PBE | relaxed
data_RbSrAu3
_chemical_formula_sum 'Rb1 Sr1 Au3'
_cell_length_a 5.874
_cell_length_b 5.874
_cell_length_c 5.874
_cell_angle_alpha 90.00
_cell_angle_beta 90.00
_cell_angle_gamma 90.00
_space_group_name_H-M_alt 'P m -3 m'
_space_group_IT_number 221
_space_group_name_Hall '-P 4 2 3'
loop_
_atom_site_label
_atom_site_fract_x
_atom_site_fract_y
_atom_site_fract_z
Rb1 0.000 0.000 0.000
Sr1 0.500 0.500 0.500
Au1 0.000 0.000 0.500
# Energy relative to the elements: 0.325 eV per atom
# Offset from the most stable computed form: 49.6 kJ/mol of atoms